# PBE CaAcPr, relaxed
# Total magnetization   0.0 μB per cell
# Energy relative to the elements   158 meV per atom
# E above lowest polymorph   0.137 eV per atom
data_CaAcPr
_space_group_name_H-M_alt 'P -6 m 2'
_space_group_IT_number 187
_space_group_name_Hall 'P -6 2'
_cell_length_a 6.1933
_cell_length_b 6.1933
_cell_length_c 3.7090
_cell_angle_alpha 90.00
_cell_angle_beta 90.00
_cell_angle_gamma 120.00
loop_
_atom_site_label
_atom_site_fract_x
_atom_site_fract_y
_atom_site_fract_z
_atom_site_occupancy
Ca1 0.0000 0.0000 0.0000 1
Ac1 0.6667 0.3333 0.5000 1
Pr1 0.3333 0.6667 0.5000 1